## VCuSe2N (PBE)

Data for an optimized crystal structure of VCuSe2N.

For the formation energy (no corrections), the calculation gives 0.950 eV per atom. The value obtained for the energy above the most stable polymorph in this dataset is 3.55 eV per formula unit. The space group is P4/mmm. Its crystal system is tetragonal.

Cell and atoms, written as extended XYZ:
```
5
Lattice="4.893 0.000 0.000 0.000 4.893 0.000 0.000 0.000 3.533" Properties=species:S:1:pos:R:3 pbc="T T T"
V 0.000 0.000 0.000
Cu 2.447 2.447 1.766
Se 0.000 2.447 1.766
Se 2.447 0.000 1.766
N 2.447 2.447 0.000
```